VASP calculation (PBE) on a geometry-optimized Cs2NiCl5 structure.

Output
Uncorrected energy = -3.375 eV/atom
E_form (uncorrected) = -1284 meV/atom

a b c (Å): 7.439 7.439 10.028
angles (deg): 90.00 90.00 90.00
Space group I4mm (No. 107)
Unique sites:
Cs  0.000  0.500  0.000 [4 per cell]
Ni  0.000  0.000  0.274 [2 per cell]
Cl  0.000  0.000  0.506 [2 per cell]
Cl  0.210  0.210  0.248 [8 per cell]